Record 1
Material: TlCd2Te
Method: DFT, PBE
State: relaxed

It has space group R3m (No. 160, hexagonal axes), with a = 3.2931 Å, b = 3.2931 Å, c = 34.9284 Å, α = 90.00°, β = 90.00° and γ = 120.00°. The asymmetric unit holds Tl at (0.0000, 0.0000, 0.0000), Cd at (0.0000, 0.0000, 0.4906), Cd at (0.0000, 0.0000, 0.7470) and Te at (0.0000, 0.0000, 0.2412).

The calculation puts the density of states at the Fermi level at 2.2 states/eV/f.u. The energy above the most stable polymorph in this dataset comes out at 162.2 meV/atom.


Record 2
Material: TlCd2Te
Method: DFT, PBE
State: relaxed

It has space group Fm-3m (No. 225), with a = 7.729 Å, b = 7.729 Å, c = 7.729 Å, α = 90.00°, β = 90.00° and γ = 90.00°. The asymmetric unit holds Tl at (0.000, 0.000, 0.000), Cd at (0.250, 0.250, 0.250) and Te at (0.000, 0.000, 0.500).

The calculation puts the density of states at the Fermi level at 2.9 states/eV/f.u. The energy above the most stable polymorph in this dataset comes out at 88.9 meV/atom.


Record 3
Material: Tl6CdTe4
Method: DFT, PBE
State: relaxed

It has space group P6_3mc (No. 186), with a = 11.2619 Å, b = 11.2619 Å, c = 7.4600 Å, α = 90.00°, β = 90.00° and γ = 120.00°. The asymmetric unit holds Tl at (0.0448, 0.5224, 0.0000), Tl at (0.1580, 0.3160, 0.2986), Cd at (0.3333, 0.6667, 0.6431), Te at (0.1896, 0.3792, 0.7442) and Te at (0.3333, 0.6667, 0.2515).

The calculation puts the density of states at the Fermi level at 0.1 states/eV/f.u.


Record 4
Material: Tl2Cd2Te
Method: DFT, PBE
State: relaxed

It has space group P4/mbm (No. 127), with a = 9.437 Å, b = 9.437 Å, c = 3.349 Å, α = 90.00°, β = 90.00° and γ = 90.00°. The asymmetric unit holds Tl at (0.189, 0.311, 0.000), Cd at (0.114, 0.614, 0.500) and Te at (0.000, 0.000, 0.000).

The calculation puts the density of states at the Fermi level at 2.2 states/eV/f.u. The energy above the most stable polymorph in this dataset comes out at 98.5 meV/atom.


The spin magnetization results, record by record, are as follows: 0.00 0.00 0.00 0.00 μB per formula unit.
The formation energy from raw total energies results, record by record, are as follows: 0.0955 0.0223 -0.3121 0.0322 eV/atom.
The E results, record by record, are as follows: -20.9 -29.0 -62.2 -19.1 eV per cell.